# K2NbAgCl6

An optimized crystal structure of K2NbAgCl6 (PBE, OQMD).

Structure (POSCAR):
```
K2NbAgCl6
1.0
3.684 2.127 5.700
-3.684 2.127 5.700
0.000 -4.254 5.700
Ag Cl K Nb
1 6 2 1
Cartesian
0.000 0.000 8.538
1.680 1.638 7.124
-0.574 2.266 9.989
-2.259 0.636 7.124
2.250 -0.636 9.989
0.578 -2.274 7.124
-1.676 -1.630 9.989
0.000 0.000 4.385
0.000 0.000 12.657
0.000 0.000 0.000
```

Values from the calculation:
The value obtained for the energy above the most stable polymorph in this dataset is 0.00 kcal/mol of atoms. The energy comes out at -3.94 eV/atom.